Entry 1:
This record from the Alexandria database describes a relaxed YCoMo2 crystal. The functional is PBEsol.

```
data_YCoMo2
_chemical_formula_sum 'Y3 Co3 Mo6'
_cell_length_a 2.8021
_cell_length_b 2.8021
_cell_length_c 28.6081
_cell_angle_alpha 90.00
_cell_angle_beta 90.00
_cell_angle_gamma 120.00
_symmetry_space_group_name_H-M 'R -3 m'
_symmetry_Int_Tables_number 166
_symmetry_space_group_name_Hall '-R 3 2"'
loop_
_atom_site_label
_atom_site_type_symbol
_atom_site_fract_x
_atom_site_fract_y
_atom_site_fract_z
Y1 Y 0.0000 0.0000 0.0000
Co1 Co 0.0000 0.0000 0.5000
Mo1 Mo 0.0000 0.0000 0.2368
```

Summary:
- Size of the total moment: 2.2 μB per cell
- Energy of formation from the pure elements: 2.54 eV per formula unit
- Crystal system: trigonal



Entry 2:
This record from the Alexandria database describes a relaxed SbMoCl2 crystal. The functional is PBEsol.

```
data_SbMoCl2
_chemical_formula_sum 'Sb3 Mo3 Cl6'
_cell_length_a 3.0720
_cell_length_b 3.0720
_cell_length_c 32.1266
_cell_angle_alpha 90.00
_cell_angle_beta 90.00
_cell_angle_gamma 120.00
_symmetry_space_group_name_H-M 'R -3 m'
_symmetry_Int_Tables_number 166
_symmetry_space_group_name_Hall '-R 3 2"'
loop_
_atom_site_label
_atom_site_type_symbol
_atom_site_fract_x
_atom_site_fract_y
_atom_site_fract_z
Sb1 Sb 0.0000 0.0000 0.0000
Mo1 Mo 0.0000 0.0000 0.5000
Cl1 Cl 0.0000 0.0000 0.4309
```

Summary:
- Size of the total moment: 0.0 μB per cell
- Energy relative to the elements, uncorrected: 41 kJ/mol of formula units
- Crystal system: trigonal



Entry 3:
This record from the Alexandria database describes a relaxed TaHgP2Cl crystal. The functional is PBEsol.

```
data_TaHgP2Cl
_chemical_formula_sum 'Ta1 Hg1 P2 Cl1'
_cell_length_a 4.820
_cell_length_b 4.820
_cell_length_c 4.785
_cell_angle_alpha 90.00
_cell_angle_beta 90.00
_cell_angle_gamma 90.00
_symmetry_space_group_name_H-M 'P 4/m m m'
_symmetry_Int_Tables_number 123
_symmetry_space_group_name_Hall '-P 4 2'
loop_
_atom_site_label
_atom_site_type_symbol
_atom_site_fract_x
_atom_site_fract_y
_atom_site_fract_z
Ta1 Ta 0.000 0.000 0.000
Hg1 Hg 0.500 0.500 0.500
P1 P 0.000 0.500 0.000
Cl1 Cl 0.000 0.000 0.500
```

Summary:
- Size of the total moment: 0.0 μB per cell
- Energy relative to the elements, uncorrected: 25 kJ/mol of formula units
- Crystal system: tetragonal



Entry 4:
This record from the Alexandria database describes a relaxed CoNiPb crystal. The functional is PBEsol.

```
data_CoNiPb
_chemical_formula_sum 'Co1 Ni1 Pb1'
_cell_length_a 3.9934
_cell_length_b 3.9934
_cell_length_c 3.2924
_cell_angle_alpha 90.00
_cell_angle_beta 90.00
_cell_angle_gamma 120.00
_symmetry_space_group_name_H-M 'P 3 m 1'
_symmetry_Int_Tables_number 156
_symmetry_space_group_name_Hall 'P 3 -2"'
loop_
_atom_site_label
_atom_site_type_symbol
_atom_site_fract_x
_atom_site_fract_y
_atom_site_fract_z
Co1 Co 0.0000 0.0000 0.0000
Ni1 Ni 0.3333 0.6667 0.1266
Pb1 Pb 0.6667 0.3333 0.5591
```

Summary:
- Size of the total moment: 1.2 μB per cell
- Energy of formation from the pure elements: 1.46 eV per formula unit
- Crystal system: trigonal



Entry 5:
This record from the Alexandria database describes a relaxed KSr2Ir crystal. The functional is PBEsol.

```
data_KSr2Ir
_chemical_formula_sum 'K2 Sr4 Ir2'
_cell_length_a 4.392
_cell_length_b 5.738
_cell_length_c 14.016
_cell_angle_alpha 90.00
_cell_angle_beta 90.00
_cell_angle_gamma 90.00
_symmetry_space_group_name_H-M 'A m m 2'
_symmetry_Int_Tables_number 38
_symmetry_space_group_name_Hall 'A 2 -2'
loop_
_atom_site_label
_atom_site_type_symbol
_atom_site_fract_x
_atom_site_fract_y
_atom_site_fract_z
K1 K 0.000 0.000 0.000
Sr1 Sr 0.000 0.000 0.291
Sr2 Sr 0.500 0.000 0.647
Ir1 Ir 0.500 0.000 0.165
```

Summary:
- Size of the total moment: 0.0 μB per cell
- Energy of formation from the pure elements: 1.15 eV per formula unit
- Crystal system: orthorhombic



Entry 6:
This record from the Alexandria database describes a relaxed K2BaCr crystal. The functional is PBEsol.

```
data_K2BaCr
_chemical_formula_sum 'K2 Ba1 Cr1'
_cell_length_a 5.268
_cell_length_b 5.268
_cell_length_c 6.646
_cell_angle_alpha 90.00
_cell_angle_beta 90.00
_cell_angle_gamma 90.00
_symmetry_space_group_name_H-M 'P 4/m m m'
_symmetry_Int_Tables_number 123
_symmetry_space_group_name_Hall '-P 4 2'
loop_
_atom_site_label
_atom_site_type_symbol
_atom_site_fract_x
_atom_site_fract_y
_atom_site_fract_z
K1 K 0.000 0.500 0.000
Ba1 Ba 0.000 0.000 0.500
Cr1 Cr 0.500 0.500 0.500
```

Summary:
- Size of the total moment: 5.1 μB per cell
- Energy of formation from the pure elements: 2.96 eV per formula unit
- Crystal system: tetragonal



Entry 7:
This record from the Alexandria database describes a relaxed CoNiI3 crystal. The functional is PBEsol.

```
data_CoNiI3
_chemical_formula_sum 'Co1 Ni1 I3'
_cell_length_a 5.125
_cell_length_b 5.125
_cell_length_c 5.125
_cell_angle_alpha 90.00
_cell_angle_beta 90.00
_cell_angle_gamma 90.00
_symmetry_space_group_name_H-M 'P m -3 m'
_symmetry_Int_Tables_number 221
_symmetry_space_group_name_Hall '-P 4 2 3'
loop_
_atom_site_label
_atom_site_type_symbol
_atom_site_fract_x
_atom_site_fract_y
_atom_site_fract_z
Co1 Co 0.000 0.000 0.000
Ni1 Ni 0.500 0.500 0.500
I1 I 0.000 0.000 0.500
```

Summary:
- Size of the total moment: 2.1 μB per cell
- Energy relative to the elements, uncorrected: 406 kJ/mol of formula units
- Crystal system: cubic



Entry 8:
This record from the Alexandria database describes a relaxed MgTe2P crystal. The functional is PBEsol.

```
data_MgTe2P
_chemical_formula_sum 'Mg2 Te4 P2'
_cell_length_a 3.939
_cell_length_b 6.951
_cell_length_c 7.725
_cell_angle_alpha 90.00
_cell_angle_beta 90.00
_cell_angle_gamma 90.00
_symmetry_space_group_name_H-M 'C m m m'
_symmetry_Int_Tables_number 65
_symmetry_space_group_name_Hall '-C 2 2'
loop_
_atom_site_label
_atom_site_type_symbol
_atom_site_fract_x
_atom_site_fract_y
_atom_site_fract_z
Mg1 Mg 0.000 0.000 0.000
Te1 Te 0.000 0.500 0.264
P1 P 0.000 0.000 0.500
```

Summary:
- Size of the total moment: 0.0 μB per cell
- Energy relative to the elements, uncorrected: 57 kJ/mol of formula units
- Crystal system: orthorhombic



Entry 9:
This record from the Alexandria database describes a relaxed MgNb3Br crystal. The functional is PBEsol.

```
data_MgNb3Br
_chemical_formula_sum 'Mg1 Nb3 Br1'
_cell_length_a 4.806
_cell_length_b 4.806
_cell_length_c 4.806
_cell_angle_alpha 90.00
_cell_angle_beta 90.00
_cell_angle_gamma 90.00
_symmetry_space_group_name_H-M 'P m -3 m'
_symmetry_Int_Tables_number 221
_symmetry_space_group_name_Hall '-P 4 2 3'
loop_
_atom_site_label
_atom_site_type_symbol
_atom_site_fract_x
_atom_site_fract_y
_atom_site_fract_z
Mg1 Mg 0.000 0.000 0.000
Nb1 Nb 0.000 0.000 0.500
Br1 Br 0.500 0.500 0.500
```

Summary:
- Size of the total moment: 0.0 μB per cell
- Energy relative to the elements, uncorrected: 942 kJ/mol of formula units
- Crystal system: cubic



Entry 10:
This record from the Alexandria database describes a relaxed BaCa2Zn crystal. The functional is PBEsol.

```
data_BaCa2Zn
_chemical_formula_sum 'Ba1 Ca2 Zn1'
_cell_length_a 3.875
_cell_length_b 3.875
_cell_length_c 9.506
_cell_angle_alpha 90.00
_cell_angle_beta 90.00
_cell_angle_gamma 90.00
_symmetry_space_group_name_H-M 'P 4 m m'
_symmetry_Int_Tables_number 99
_symmetry_space_group_name_Hall 'P 4 -2'
loop_
_atom_site_label
_atom_site_type_symbol
_atom_site_fract_x
_atom_site_fract_y
_atom_site_fract_z
Ba1 Ba 0.000 0.000 0.000
Ca1 Ca 0.000 0.000 0.621
Ca2 Ca 0.500 0.500 0.337
Zn1 Zn 0.500 0.500 0.778
```

Summary:
- Size of the total moment: 0.0 μB per cell
- Energy of formation from the pure elements: -0.32 eV per formula unit
- Crystal system: tetragonal



Entry 11:
This record from the Alexandria database describes a relaxed LiMgP2 crystal. The functional is PBEsol.

```
data_LiMgP2
_chemical_formula_sum 'Li2 Mg2 P4'
_cell_length_a 5.586
_cell_length_b 7.447
_cell_length_c 2.913
_cell_angle_alpha 90.00
_cell_angle_beta 90.00
_cell_angle_gamma 90.00
_symmetry_space_group_name_H-M 'C m m m'
_symmetry_Int_Tables_number 65
_symmetry_space_group_name_Hall '-C 2 2'
loop_
_atom_site_label
_atom_site_type_symbol
_atom_site_fract_x
_atom_site_fract_y
_atom_site_fract_z
Li1 Li 0.000 0.000 0.000
Mg1 Mg 0.000 0.500 0.000
P1 P 0.250 0.250 0.500
```

Summary:
- Size of the total moment: 0.0 μB per cell
- Energy of formation from the pure elements: -1.07 eV per formula unit
- Crystal system: orthorhombic



Entry 12:
This record from the Alexandria database describes a relaxed NbTe2O crystal. The functional is PBEsol.

```
data_NbTe2O
_chemical_formula_sum 'Nb3 Te6 O3'
_cell_length_a 3.7035
_cell_length_b 3.7035
_cell_length_c 22.8014
_cell_angle_alpha 90.00
_cell_angle_beta 90.00
_cell_angle_gamma 120.00
_symmetry_space_group_name_H-M 'R -3 m'
_symmetry_Int_Tables_number 166
_symmetry_space_group_name_Hall '-R 3 2"'
loop_
_atom_site_label
_atom_site_type_symbol
_atom_site_fract_x
_atom_site_fract_y
_atom_site_fract_z
Nb1 Nb 0.0000 0.0000 0.0000
Te1 Te 0.0000 0.0000 0.4106
O1 O 0.0000 0.0000 0.5000
```

Summary:
- Size of the total moment: 0.0 μB per cell
- Energy relative to the elements, uncorrected: -106 kJ/mol of formula units
- Crystal system: trigonal